# 1
Ti4SbIr after structural relaxation, computed with GGA-PBE.

Properties
- energy relative to the elements, uncorrected (eV per atom) = -0.28

abc: 4.9271 6.8807 7.2759
angles: 102.17 109.80 89.99
Element x y z (fractional)
Ti (0.0116, 0.1308, 0.3528)
Ti (0.4396, 0.9336, 0.1451)
Ti (0.2945, 0.5665, 0.8549)
Ti (0.7055, 0.4335, 0.1451)
Ti (0.9884, 0.8692, 0.6472)
Ti (0.6587, 0.3692, 0.6471)
Ti (0.3413, 0.6308, 0.3529)
Ti (0.5604, 0.0664, 0.8549)
Sb (0.1293, 0.2500, 0.9999)
Sb (0.8707, 0.7500, 0.0001)
Ir (0.5000, 0.0000, 0.5000)
Ir (0.0000, 0.5000, 0.5000)

# 2
TiV2SbIr after structural relaxation, computed with GGA-PBE.

Properties
- energy relative to the elements, uncorrected (eV per atom) = 1.20

abc: 4.3004 5.0006 4.3004
angles: 90.00 90.00 90.00
Element x y z (fractional)
Ir (0.5000, 0.5000, 0.5000)
V (0.5000, 0.0000, 0.0000)
V (0.0000, 0.0000, 0.5000)
Ti (0.0000, 0.0000, 0.0000)
Sb (0.0000, 0.5000, 0.0000)

# 3
TiSb2IrW after structural relaxation, computed with GGA-PBE.

Properties
- energy relative to the elements, uncorrected (eV per atom) = 1.39

abc: 5.0712 4.5995 5.0712
angles: 90.00 90.00 90.00
Element x y z (fractional)
Ti (0.0000, 0.0000, 0.0000)
Sb (0.0000, 0.0000, 0.5000)
Sb (0.5000, 0.0000, 0.0000)
W (0.5000, 0.5000, 0.5000)
Ir (0.0000, 0.5000, 0.0000)

# 4
TlSb2Ir2 after structural relaxation, computed with GGA-PBE.

Properties
- E above lowest polymorph (eV per atom) = 0.2658
- energy relative to the elements, uncorrected (eV per atom) = 0.20

abc: 8.1412 8.1412 3.1349
angles: 90.00 90.00 90.00
Element x y z (fractional)
Sb (0.8482, 0.3482, 0.5000)
Sb (0.3482, 0.1518, 0.5000)
Sb (0.6518, 0.8482, 0.5000)
Sb (0.1518, 0.6518, 0.5000)
Ir (0.3690, 0.8690, 0.0000)
Ir (0.1310, 0.3690, 0.0000)
Ir (0.8690, 0.6310, 0.0000)
Ir (0.6310, 0.1310, 0.0000)
Tl (0.5000, 0.5000, 0.0000)
Tl (0.0000, 0.0000, 0.0000)